[1]
# Pr10Sn3Te3 | the Alexandria database | PBE | optimized geometry
data_Pr10Sn3Te3
_symmetry_space_group_name_H-M 'P -6 2 m'
_symmetry_Int_Tables_number 189
_symmetry_space_group_name_Hall 'P -6 -2'
_cell_length_a 9.4479
_cell_length_b 9.4479
_cell_length_c 6.5776
_cell_angle_alpha 90.00
_cell_angle_beta 90.00
_cell_angle_gamma 120.00
loop_
_atom_site_label
_atom_site_fract_x
_atom_site_fract_y
_atom_site_fract_z
Pr1 0.0000 0.2500 0.0000
Pr2 0.0000 0.7503 0.5000
Pr3 0.3333 0.6667 0.2513
Sn1 0.0000 0.3877 0.5000
Te1 0.0000 0.6163 0.0000
# Total DFT energy (no corrections): -5.2297 eV/atom
# D(E_F): 18.533 states/eV/cell
# Formation energy (no corrections): -20.8 kcal/mol of atoms
# V: 31.78 Å³ per atom
# Size of the total moment: 0.8 μB per formula unit

---

[2]
# PrSn5Te7 | the Alexandria database | PBE | optimized geometry
data_PrSn5Te7
_symmetry_space_group_name_H-M 'C 1 m 1'
_symmetry_Int_Tables_number 8
_cell_length_a 15.001
_cell_length_b 4.429
_cell_length_c 26.250
_cell_angle_alpha 90.00
_cell_angle_beta 90.04
_cell_angle_gamma 90.00
loop_
_symmetry_equiv_pos_as_xyz
'x,y,z'
'x,-y,z'
'x+1/2,y+1/2,z'
'x+1/2,-y+1/2,z'
loop_
_atom_site_label
_atom_site_fract_x
_atom_site_fract_y
_atom_site_fract_z
Pr1 0.000 0.000 0.000
Pr2 0.087 0.500 0.500
Sn1 0.009 0.500 0.186
Sn2 0.033 0.500 0.834
Sn3 0.054 0.000 0.334
Sn4 0.078 0.000 0.686
Sn5 0.238 0.000 0.112
Sn6 0.266 0.000 0.908
Sn7 0.284 0.500 0.257
Sn8 0.303 0.500 0.757
Sn9 0.322 0.000 0.408
Sn10 0.349 0.000 0.611
Te1 0.092 0.500 0.079
Te2 0.122 0.500 0.938
Te3 0.145 0.000 0.222
Te4 0.169 0.000 0.797
Te5 0.179 0.500 0.381
Te6 0.217 0.500 0.652
Te7 0.239 0.000 0.512
Te8 0.349 0.000 0.012
Te9 0.371 0.500 0.152
Te10 0.409 0.500 0.881
Te11 0.418 0.000 0.297
Te12 0.442 0.000 0.722
Te13 0.466 0.500 0.438
Te14 0.495 0.500 0.578
# Total DFT energy (no corrections): -4.0784 eV/atom
# D(E_F): 25.744 states/eV/cell
# Formation energy (no corrections): -11.1 kcal/mol of atoms
# V: 33.54 Å³ per atom
# Size of the total moment: 0.0 μB per formula unit

---

[3]
# Pr5Sn2Te2 | the Alexandria database | PBE | optimized geometry
data_Pr5Sn2Te2
_symmetry_space_group_name_H-M 'I m a 2'
_symmetry_Int_Tables_number 46
_cell_length_a 17.370
_cell_length_b 8.016
_cell_length_c 8.599
_cell_angle_alpha 90.00
_cell_angle_beta 90.00
_cell_angle_gamma 90.00
loop_
_symmetry_equiv_pos_as_xyz
'x,y,z'
'-x,-y,z'
'-x+1/2,y,z'
'x+1/2,-y,z'
'x+1/2,y+1/2,z+1/2'
'-x+1/2,-y+1/2,z+1/2'
'-x,y+1/2,z+1/2'
'x,-y+1/2,z+1/2'
loop_
_atom_site_label
_atom_site_fract_x
_atom_site_fract_y
_atom_site_fract_z
Pr1 0.058 0.210 0.000
Pr2 0.156 0.659 0.111
Pr3 0.250 0.152 0.270
Sn1 0.082 0.543 0.787
Te1 0.000 0.000 0.721
Te2 0.250 0.518 0.424
# Total DFT energy (no corrections): -5.0919 eV/atom
# D(E_F): 23.648 states/eV/cell
# Formation energy (no corrections): -19.6 kcal/mol of atoms
# Energy relative to the lowest polymorph listed for this composition: 213 meV per atom
# V: 33.26 Å³ per atom
# Size of the total moment: 0.0 μB per formula unit

---

[4]
# Pr4SnTe3 | the Alexandria database | PBE | optimized geometry
data_Pr4SnTe3
_symmetry_space_group_name_H-M 'P m -3 m'
_symmetry_Int_Tables_number 221
_symmetry_space_group_name_Hall '-P 4 2 3'
_cell_length_a 6.421
_cell_length_b 6.421
_cell_length_c 6.421
_cell_angle_alpha 90.00
_cell_angle_beta 90.00
_cell_angle_gamma 90.00
loop_
_atom_site_label
_atom_site_fract_x
_atom_site_fract_y
_atom_site_fract_z
Pr1 0.000 0.000 0.000
Pr2 0.000 0.500 0.500
Sn1 0.500 0.500 0.500
Te1 0.000 0.000 0.500
# Total DFT energy (no corrections): -5.3950 eV/atom
# D(E_F): 4.040 states/eV/cell
# Formation energy (no corrections): -30.6 kcal/mol of atoms
# V: 33.09 Å³ per atom
# Size of the total moment: 0.0 μB per formula unit

---

[5]
# Pr8Sn3Te4 | the Alexandria database | PBE | optimized geometry
data_Pr8Sn3Te4
_symmetry_space_group_name_H-M 'C 1 2/m 1'
_symmetry_Int_Tables_number 12
_cell_length_a 12.745
_cell_length_b 12.778
_cell_length_c 9.000
_cell_angle_alpha 90.00
_cell_angle_beta 134.78
_cell_angle_gamma 90.00
loop_
_symmetry_equiv_pos_as_xyz
'x,y,z'
'-x,-y,-z'
'-x,y,-z'
'x,-y,z'
'x+1/2,y+1/2,z'
'-x+1/2,-y+1/2,-z'
'-x+1/2,y+1/2,-z'
'x+1/2,-y+1/2,z'
loop_
_atom_site_label
_atom_site_fract_x
_atom_site_fract_y
_atom_site_fract_z
Pr1 0.000 0.248 0.000
Pr2 0.000 0.248 0.500
Pr3 0.244 0.000 0.496
Pr4 0.244 0.000 0.998
Sn1 0.000 0.000 0.000
Sn2 0.250 0.250 0.500
Te1 0.000 0.500 0.000
Te2 0.000 0.500 0.500
Te3 0.250 0.250 0.000
# Total DFT energy (no corrections): -5.2501 eV/atom
# D(E_F): 14.496 states/eV/cell
# Formation energy (no corrections): -24.5 kcal/mol of atoms
# V: 34.68 Å³ per atom
# Size of the total moment: 0.0 μB per formula unit

---

[6]
# PrSn6Te8 | the Alexandria database | PBE | optimized geometry
data_PrSn6Te8
_symmetry_space_group_name_H-M 'P -3'
_symmetry_Int_Tables_number 147
_cell_length_a 10.4416
_cell_length_b 10.4416
_cell_length_c 6.0995
_cell_angle_alpha 90.00
_cell_angle_beta 90.00
_cell_angle_gamma 120.00
loop_
_symmetry_equiv_pos_as_xyz
'x,y,z'
'-x,-y,-z'
'-y,x-y,z'
'y,-x+y,-z'
'-x+y,-x,z'
'x-y,x,-z'
loop_
_atom_site_label
_atom_site_fract_x
_atom_site_fract_y
_atom_site_fract_z
Pr1 0.0000 0.0000 0.0000
Sn1 0.0896 0.6720 0.1575
Te1 0.0107 0.2718 0.2707
Te2 0.3333 0.6667 0.9101
# Total DFT energy (no corrections): -3.9545 eV/atom
# D(E_F): 8.119 states/eV/cell
# Formation energy (no corrections): -8.3 kcal/mol of atoms
# V: 38.39 Å³ per atom
# Size of the total moment: 0.0 μB per formula unit